Crystalline Co4HgMo at its relaxed geometry, computed with PBE.

Its total magnetization is 2.0 μB/f.u. The energy of formation comes out at 0.266 eV/atom.

Lattice parameters (Å, degrees): 4.7617 4.7617 4.7617 60.00 60.00 60.00
Last column: nearest neighbours and their distance in Å.
Positions (direct):
Co 0.1248 0.1248 0.1248  6 Co 2.38-2.39
Co 0.1248 0.1248 0.6257  6 Co 2.38-2.39
Co 0.1248 0.6257 0.1248  6 Co 2.38-2.39
Co 0.6257 0.1248 0.1248  6 Co 2.38-2.39
Hg 0.5000 0.5000 0.5000  12 Co 2.79, 4 Mo 2.92
Mo 0.7500 0.7500 0.7500  12 Co 2.79, 4 Hg 2.92